CsVSO6: relaxed, PBEsol.

abc: 5.1662 17.2392 6.5752
angles: 90.00 90.00 90.00
Closest atoms and distances in Å follow each position.
Positions (direct):
Cs  0.0333  0.0917  0.2500  7 O 3.03-3.32
Cs  0.0333  0.4083  0.7500  7 O 3.03-3.32
Cs  0.9667  0.5917  0.2500  7 O 3.03-3.32
Cs  0.9667  0.9083  0.7500  7 O 3.03-3.32
V  0.4549  0.7500  0.0000  1 O 1.60
V  0.4549  0.7500  0.5000  1 O 1.60
V  0.5451  0.2500  0.0000  1 O 1.60
V  0.5451  0.2500  0.5000  1 O 1.60
S  0.4413  0.5936  0.7500  4 O 1.45-1.53
S  0.4413  0.9064  0.2500  4 O 1.45-1.53
S  0.5587  0.0936  0.7500  4 O 1.45-1.53
S  0.5587  0.4064  0.2500  4 O 1.45-1.53
O  0.1461  0.7500  0.0000  1 V 1.60
O  0.1461  0.7500  0.5000  1 V 1.60
O  0.1616  0.5848  0.7500  1 S 1.45
O  0.1616  0.9152  0.2500  1 S 1.45
O  0.4140  0.0218  0.7500  1 S 1.45
O  0.4140  0.4782  0.2500  1 S 1.45
O  0.4266  0.2276  0.2500  2 V 1.80
O  0.4266  0.2724  0.7500  2 V 1.80
O  0.4752  0.1414  0.5644  1 S 1.53
O  0.4752  0.1414  0.9356  1 S 1.53
O  0.4752  0.3586  0.0644  1 S 1.53
O  0.4752  0.3586  0.4356  1 S 1.53
O  0.5248  0.6414  0.5644  1 S 1.53
O  0.5248  0.6414  0.9356  1 S 1.53
O  0.5248  0.8586  0.0644  1 S 1.53
O  0.5248  0.8586  0.4356  1 S 1.53
O  0.5734  0.7276  0.2500  2 V 1.80
O  0.5734  0.7724  0.7500  2 V 1.80
O  0.5860  0.5218  0.7500  1 S 1.45
O  0.5860  0.9782  0.2500  1 S 1.45
O  0.8384  0.0848  0.7500  1 S 1.45
O  0.8384  0.4152  0.2500  1 S 1.45
O  0.8539  0.2500  0.0000  1 V 1.60
O  0.8539  0.2500  0.5000  1 V 1.60

Summary:
Density of states at the Fermi level = 0.000 states/eV per atom
Energy relative to the elements, uncorrected = -1.963 eV per atom
Calculated total energy = -7.125 eV/atom
Total magnetization = 0.0 μB per formula unit